(1)
DFT (SCAN) results for a PBEsol-optimized structure of Li3SnI.

Cell: 5.1112 5.1112 5.1112 Å, 90.00 90.00 90.00°
Fractional positions:
1 Li 0.0000 0.0000 0.5000
2 Li 0.0000 0.5000 0.0000
3 Li 0.5000 0.0000 0.0000
4 Sn 0.5000 0.5000 0.5000
5 I 0.0000 0.0000 0.0000

Computed properties:
Its raw formation energy is -1.22 eV per formula unit. The calculation puts the magnetic moment at 0.00 μB per cell. The space group is Pm-3m, No. 221. The calculated density is 3313 kg/m3.

---

(2)
DFT (SCAN) results for a PBEsol-optimized structure of SrLi2I2.

Cell: 8.1449 8.1449 8.1449 Å, 150.18 150.18 42.68°
Fractional positions:
1 Sr 0.0000 0.0000 0.0000
2 Li 0.2500 0.7500 0.5000
3 Li 0.7500 0.2500 0.5000
4 I 0.3820 0.3820 0.0000
5 I 0.6180 0.6180 0.0000

Computed properties:
Its raw formation energy is -3.69 eV per formula unit. The calculation puts the magnetic moment at 0.07 μB per cell. The space group is I4/mmm, No. 139. The calculated density is 4426 kg/m3.

---

(3)
DFT (SCAN) results for a PBEsol-optimized structure of Li2TaI.

Cell: 4.6160 4.6160 4.6160 Å, 60.00 60.00 60.00°
Fractional positions:
1 Li 0.2500 0.2500 0.2500
2 Li 0.7500 0.7500 0.7500
3 Ta 0.0000 0.0000 0.0000
4 I 0.5000 0.5000 0.5000

Computed properties:
Its raw formation energy is 4.06 eV per formula unit. The calculation puts the magnetic moment at 1.39 μB per cell. The space group is Fm-3m, No. 225. The calculated density is 7682 kg/m3.

---

(4)
DFT (SCAN) results for a PBEsol-optimized structure of LiTaTeI2.

Cell: 6.0874 6.0874 4.8196 Å, 90.00 90.00 90.00°
Fractional positions:
1 Li 0.0000 0.0000 0.0000
2 Ta 0.5000 0.5000 0.0000
3 Te 0.0000 0.0000 0.5000
4 I 0.0000 0.5000 0.5000
5 I 0.5000 0.0000 0.5000

Computed properties:
Its raw formation energy is 5.45 eV per formula unit. The calculation puts the magnetic moment at 4.50 μB per cell. The space group is P4/mmm, No. 123. The calculated density is 5293 kg/m3.

---

Question: Which value of raw formation energy does entry 1 give?
Answer: -1.22 eV per formula unit

---

Question: What is the formula in the third record?
Answer: Li2TaI

---

Question: Which value of magnetic moment does entry 2 give?
Answer: 0.07 μB per cell